Computed, not measured: crystalline CrInRe2Ge at its relaxed geometry at the PBEsol level of DFT.

Computed properties:
Size of the total moment: 0.0 μB/f.u.
Uncorrected energy: -7.45 eV/atom
Energy of formation: 1517 meV/atom
Space-group type: P4/mmm
Volume: 19.08 Å³/atom

a = 4.440 Å, b = 4.440 Å, c = 4.841 Å
α = 90.00°, β = 90.00°, γ = 90.00°
Atoms (fractional coordinates):
Cr (0.000, 0.000, 0.000)
In (0.000, 0.000, 0.500)
Re (0.000, 0.500, 0.000)
Re (0.500, 0.000, 0.000)
Ge (0.500, 0.500, 0.500)